Entry 1:
Density functional theory data (PBE-GGA) for an optimized crystal structure of CeHoIrBr.

The structure belongs to space group R3m (No. 160, hexagonal axes); the cell edges are 4.0650, 4.0650 and 23.2844 Å and the angles 90.00°, 90.00° and 120.00°. The asymmetric unit holds Ce at (0.0000, 0.0000, 0.0000), Ho at (0.0000, 0.0000, 0.2066), Ir at (0.0000, 0.0000, 0.6035) and Br at (0.0000, 0.0000, 0.4347).

Its uncorrected formation energy is -4.2 eV/f.u. The total energy comes out at -75.87 eV for the cell shown. The calculation puts the calculated volume at 27.8 A^3/atom.

***

Entry 2:
Density functional theory data (PBE-GGA) for an optimized crystal structure of ErTl2BiS4.

The structure belongs to space group P2/m (No. 10); the cell edges are 7.085, 4.064 and 7.835 Å and the angles 90.00°, 107.34° and 90.00°. The asymmetric unit holds Er at (0.000, 0.000, 0.000), Tl at (0.000, 0.500, 0.500), Tl at (0.500, 0.000, 0.500), Bi at (0.500, 0.500, 0.000), S at (0.224, 0.500, 0.199) and S at (0.255, 0.000, 0.795).

Its uncorrected formation energy is -7.6 eV/f.u. The total energy comes out at -37.31 eV for the cell shown. The calculation puts the calculated volume at 26.9 A^3/atom.